## La2SbRh (PBE)

Data for La2SbRh after structural relaxation.

The value obtained for the total magnetization is 0.00 μB per formula unit. The calculation puts the formation energy (no corrections) at -688 meV per atom.

abc: 6.703 6.703 6.703
angles: 104.12 104.12 120.80
Element x y z (fractional)
La 0.072 0.625 0.947
La 0.375 0.322 0.447
La 0.678 0.125 0.053
La 0.875 0.928 0.553
Sb 0.250 0.750 0.500
Sb 0.500 0.500 0.000
Rh 0.000 0.000 0.000
Rh 0.750 0.250 0.500

***

## LaCeMgGa (PBE)

Data for LaCeMgGa after structural relaxation.

The value obtained for the total magnetization is 0.87 μB per formula unit. Its formation energy is -0.24 eV/atom.

abc: 5.355 5.355 5.355
angles: 60.00 60.00 60.00
Element x y z (fractional)
La 0.000 0.000 0.000
Ce 0.500 0.500 0.500
Mg 0.750 0.750 0.750
Ga 0.250 0.250 0.250

***

Question: The highest total magnetization belongs to which entry?
Answer: LaCeMgGa

***

Question: The highest total magnetization belongs to which entry?
Answer: LaCeMgGa

***

Question: The lowest total magnetization belongs to which entry?
Answer: La2SbRh

***

Question: Which of these has the highest total magnetization?
Answer: LaCeMgGa